No. 1
The following is a PBE calculation of an optimized crystal structure of YZn6Au12, from Alexandria via LeMat-Bulk.

abc: 7.4973 7.4973 7.4973
angles: 106.09 106.09 106.09
With the nearest neighbours (Å) after each atom.
Fractional positions:
Y  0.0000  0.0000  0.0000  6 Au 3.00
Zn  0.2894  0.2894  0.6936  8 Au 2.65-2.94
Zn  0.2894  0.6936  0.2894  8 Au 2.65-2.94
Zn  0.3064  0.7106  0.7106  8 Au 2.65-2.94
Zn  0.6936  0.2894  0.2894  8 Au 2.65-2.94
Zn  0.7106  0.3064  0.7106  8 Au 2.65-2.94
Zn  0.7106  0.7106  0.3064  8 Au 2.65-2.94
Au  0.1185  0.5000  0.8815  4 Zn 2.65-2.73, 3 Au 2.80-2.84
Au  0.1185  0.8815  0.5000  4 Zn 2.65-2.73, 3 Au 2.80-2.84
Au  0.1202  0.3665  0.3665  4 Zn 2.73-2.94, 4 Au 2.80-2.95, 1 Y 3.00
Au  0.3665  0.1202  0.3665  4 Zn 2.73-2.94, 4 Au 2.80-2.95, 1 Y 3.00
Au  0.3665  0.3665  0.1202  4 Zn 2.73-2.94, 4 Au 2.80-2.95, 1 Y 3.00
Au  0.5000  0.1185  0.8815  4 Zn 2.65-2.73, 3 Au 2.80-2.84
Au  0.5000  0.8815  0.1185  4 Zn 2.65-2.73, 3 Au 2.80-2.84
Au  0.6335  0.6335  0.8798  4 Zn 2.73-2.94, 4 Au 2.80-2.95, 1 Y 3.00
Au  0.6335  0.8798  0.6335  4 Zn 2.73-2.94, 4 Au 2.80-2.95, 1 Y 3.00
Au  0.8798  0.6335  0.6335  4 Zn 2.73-2.94, 4 Au 2.80-2.95, 1 Y 3.00
Au  0.8815  0.1185  0.5000  4 Zn 2.65-2.73, 3 Au 2.80-2.84
Au  0.8815  0.5000  0.1185  4 Zn 2.65-2.73, 3 Au 2.80-2.84


No. 2
The following is a PBE calculation of an optimized crystal structure of YZn2Au8, from Alexandria via LeMat-Bulk.

abc: 7.6189 7.6189 6.9371
angles: 109.70 109.70 32.16
With the nearest neighbours (Å) after each atom.
Fractional positions:
Y  0.0000  0.0000  0.0000  12 Au 2.93-3.07
Zn  0.2782  0.2782  0.3378  10 Au 2.74-2.96
Zn  0.7218  0.7218  0.6622  10 Au 2.74-2.96
Au  0.1065  0.1065  0.4685  3 Zn 2.74-2.96, 5 Au 2.90-3.00
Au  0.1824  0.1824  0.9162  3 Zn 2.76-2.93, 6 Au 2.85-2.95, 1 Y 2.93
Au  0.3497  0.3497  0.7733  3 Zn 2.75-2.83, 4 Au 2.90-2.97, 2 Y 3.06
Au  0.4564  0.4564  0.2749  1 Zn 2.79, 8 Au 2.91-3.10, 2 Y 3.06
Au  0.5436  0.5436  0.7251  1 Zn 2.79, 8 Au 2.91-3.10, 2 Y 3.06
Au  0.6503  0.6503  0.2267  3 Zn 2.75-2.83, 4 Au 2.90-2.97, 2 Y 3.06
Au  0.8176  0.8176  0.0838  3 Zn 2.76-2.93, 6 Au 2.85-2.95, 1 Y 2.93
Au  0.8935  0.8935  0.5315  3 Zn 2.74-2.96, 5 Au 2.90-3.00

distance to the lowest polymorph of the same formula	0.000	eV/atom


No. 3
The following is a PBE calculation of an optimized crystal structure of Y2ZnAu6, from Alexandria via LeMat-Bulk.

abc: 6.2541 6.2541 5.4618
angles: 90.04 90.04 59.93
With the nearest neighbours (Å) after each atom.
Fractional positions:
Y  0.1665  0.1665  0.1748  12 Au 3.10-3.28
Y  0.8335  0.8335  0.8252  12 Au 3.10-3.28
Zn  0.5000  0.5000  0.0000  6 Au 2.58
Au  0.1378  0.6809  0.3069  1 Zn 2.58, 4 Au 2.85-2.88
Au  0.3186  0.3186  0.6936  1 Zn 2.58, 4 Au 2.85-2.88
Au  0.3191  0.8622  0.6931  1 Zn 2.58, 4 Au 2.85-2.88
Au  0.6809  0.1378  0.3069  1 Zn 2.58, 4 Au 2.85-2.88
Au  0.6814  0.6814  0.3064  1 Zn 2.58, 4 Au 2.85-2.88
Au  0.8622  0.3191  0.6931  1 Zn 2.58, 4 Au 2.85-2.88


No. 4
The following is a PBE calculation of an optimized crystal structure of Y2ZnAu, from Alexandria via LeMat-Bulk.

abc: 5.0565 5.0565 3.6328
angles: 90.00 90.00 90.00
With the nearest neighbours (Å) after each atom.
Fractional positions:
Y  0.0000  0.5000  0.0000  4 Zn 3.11, 4 Au 3.11
Y  0.5000  0.0000  0.0000  4 Zn 3.11, 4 Au 3.11
Zn  0.0000  0.0000  0.5000  8 Y 3.11
Au  0.5000  0.5000  0.5000  8 Y 3.11


No. 5
The following is a PBE calculation of an optimized crystal structure of YZn2Au2, from Alexandria via LeMat-Bulk.

abc: 7.5839 7.5839 3.4174
angles: 90.00 90.00 90.00
With the nearest neighbours (Å) after each atom.
Fractional positions:
Y  0.0000  0.0000  0.0000  4 Au 2.96, 8 Zn 3.31
Y  0.5000  0.5000  0.0000  4 Au 2.96, 8 Zn 3.31
Zn  0.1635  0.3365  0.5000  6 Au 2.77-2.84
Zn  0.3365  0.8365  0.5000  6 Au 2.77-2.84
Zn  0.6635  0.1635  0.5000  6 Au 2.77-2.84
Zn  0.8365  0.6635  0.5000  6 Au 2.77-2.84
Au  0.1333  0.6333  0.0000  6 Zn 2.77-2.84, 1 Au 2.86, 2 Y 2.96
Au  0.3667  0.1333  0.0000  6 Zn 2.77-2.84, 1 Au 2.86, 2 Y 2.96
Au  0.6333  0.8667  0.0000  6 Zn 2.77-2.84, 1 Au 2.86, 2 Y 2.96
Au  0.8667  0.3667  0.0000  6 Zn 2.77-2.84, 1 Au 2.86, 2 Y 2.96

distance to the lowest polymorph of the same formula	0.228	eV/atom


No. 6
The following is a PBE calculation of an optimized crystal structure of YZn4Au2, from Alexandria via LeMat-Bulk.

abc: 3.9701 16.6105 3.9289
angles: 90.00 90.00 90.00
With the nearest neighbours (Å) after each atom.
Fractional positions:
Y  0.0000  0.0000  0.0000  8 Au 3.12
Y  0.5000  0.5000  0.0000  8 Au 3.12
Zn  0.0000  0.1896  0.5000  2 Au 2.66, 8 Zn 2.77-2.82
Zn  0.0000  0.3071  0.0000  2 Au 2.68, 8 Zn 2.75-2.79
Zn  0.0000  0.6929  0.0000  2 Au 2.68, 8 Zn 2.75-2.79
Zn  0.0000  0.8104  0.5000  2 Au 2.66, 8 Zn 2.77-2.82
Zn  0.5000  0.1929  0.0000  2 Au 2.68, 8 Zn 2.75-2.79
Zn  0.5000  0.3104  0.5000  2 Au 2.66, 8 Zn 2.77-2.82
Zn  0.5000  0.6896  0.5000  2 Au 2.66, 8 Zn 2.77-2.82
Zn  0.5000  0.8071  0.0000  2 Au 2.68, 8 Zn 2.75-2.79
Au  0.0000  0.4168  0.5000  4 Zn 2.66-2.68, 1 Au 2.76
Au  0.0000  0.5832  0.5000  4 Zn 2.66-2.68, 1 Au 2.76
Au  0.5000  0.0832  0.5000  4 Zn 2.66-2.68, 1 Au 2.76
Au  0.5000  0.9168  0.5000  4 Zn 2.66-2.68, 1 Au 2.76

distance to the lowest polymorph of the same formula	0.022	eV/atom


Values of D(E_F), in order: 8.89 2.52 3.17 3.11 2.90 3.49, all in states/eV/f.u..
Values of energy of formation, in order: -3.65 -3.66 -5.25 -2.45 -1.59 -2.68, all in eV per formula unit.